# 1
First-principles (PBE) data for SmCuH after structural relaxation, as listed in Alexandria via LeMat-Bulk.

```
SmCuH
1.0
-3.325 1.309 4.539
-0.606 -5.699 -0.730
7.357 1.074 2.369
Cu H Sm
4 4 4
direct
0.912 0.912 0.824
0.162 0.662 0.324
0.338 0.838 0.676
0.088 0.088 0.176
0.625 0.375 0.750
0.625 0.375 0.250
0.125 0.375 0.750
0.625 0.875 0.250
0.535 0.465 0.500
0.715 0.285 0.000
0.285 0.715 0.000
0.965 0.035 0.500
```

Output
- Total DFT energy (no corrections): -47.66 eV/cell
- Density of states at the Fermi level: 5.47 states/eV/cell
- Total magnetic moment: 0.000 μB per formula unit
- Symmetry: Fddd

***

# 2
First-principles (PBE) data for Ga2Ag3Au8 after structural relaxation, as listed in Alexandria via LeMat-Bulk.

```
Ga2Ag3Au8
1.0
5.527 0.000 0.000
2.764 4.787 0.000
2.764 1.596 9.730
Au Ag Ga
8 3 2
direct
0.720 0.720 0.839
0.230 0.733 0.304
0.267 0.770 0.696
0.733 0.230 0.304
0.280 0.280 0.161
0.770 0.267 0.696
0.733 0.733 0.304
0.267 0.267 0.696
0.184 0.184 0.448
0.816 0.816 0.552
0.000 0.000 0.000
0.363 0.363 0.911
0.637 0.637 0.089
```

Output
- Density of states at the Fermi level: 5.23 states/eV/cell
- Calculated formation energy: 0.37 eV/f.u.
- Total magnetic moment: 0.000 μB per formula unit
- Symmetry: R-3m

***

# 3
First-principles (PBE) data for CsHo2CuS4 after structural relaxation, as listed in Alexandria via LeMat-Bulk.

```
CsHo2CuS4
1.0
-3.369 0.329 2.126
-1.313 -5.115 -5.046
4.539 -9.751 8.703
Ho S Cu Cs
4 8 2 2
direct
0.634 0.268 0.438
0.634 0.268 0.062
0.366 0.732 0.562
0.366 0.732 0.938
0.255 0.511 0.105
0.418 0.835 0.750
0.745 0.489 0.895
0.000 0.000 0.500
0.255 0.511 0.395
0.745 0.489 0.605
0.582 0.165 0.250
0.000 0.000 0.000
0.832 0.663 0.750
0.168 0.337 0.250
0.106 0.212 0.750
0.894 0.788 0.250
```

Output
- Total magnetic moment: 0.000 μB per formula unit
- Formation energy (no corrections): -13.05 eV/f.u.
- Symmetry: Cmcm

***

# 4
First-principles (PBE) data for TcNi2Cl after structural relaxation, as listed in Alexandria via LeMat-Bulk.

```
TcNi2Cl
1.0
-0.229 0.211 4.774
1.015 -4.134 2.183
2.124 2.628 -3.387
Ni Tc Cl
2 1 1
direct
0.000 0.000 0.000
0.500 0.500 0.000
0.250 0.750 0.500
0.750 0.250 0.500
```

Output
- Density of states at the Fermi level: 6.15 states/eV/cell
- Total magnetic moment: 2.964 μB per formula unit
- Formation energy (no corrections): 3.41 eV/f.u.
- Symmetry: I4/mmm

***

- Number 4 is which compound?
  TcNi2Cl